<A>
First-principles (PBE-GGA) data for a relaxed AlTePb3 crystal, as listed in Alexandria.

Output
For the density of states at the Fermi level, the calculation gives 0.97 states/eV/atom.

Cell lengths 5.996, 5.996, 5.996 Å; angles 90.00, 90.00, 90.00 degrees
Fractional positions:
Al: 0.000 0.000 0.000
Te: 0.500 0.500 0.500
Pb: 0.000 0.500 0.500
Pb: 0.500 0.000 0.500
Pb: 0.500 0.500 0.000

=====

<B>
First-principles (PBE-GGA) data for a relaxed AlTePb3 crystal, as listed in Alexandria.

Output
For the density of states at the Fermi level, the calculation gives 0.48 states/eV/atom.

Cell lengths 5.491, 5.491, 5.491 Å; angles 90.00, 90.00, 90.00 degrees
Fractional positions:
Al: 0.000 0.000 0.000
Te: 0.500 0.500 0.500
Pb: 0.000 0.000 0.500
Pb: 0.000 0.500 0.000
Pb: 0.500 0.000 0.000

=====

Which one is most stable, and which one is least stable? <B> is the most stable of them, while <A> is the least stable.

=====

<A>
First-principles (PBE-GGA) data for a relaxed Al2TePb crystal, as listed in Alexandria.

Output
For the density of states at the Fermi level, the calculation gives 0.49 states/eV/atom.

Cell lengths 5.345, 5.345, 5.345 Å; angles 125.04, 125.04, 81.47 degrees
Fractional positions:
Al: 0.250 0.750 0.500
Al: 0.750 0.250 0.500
Te: 0.000 0.000 0.000
Pb: 0.500 0.500 0.000

=====

<B>
First-principles (PBE-GGA) data for a relaxed Al2TePb crystal, as listed in Alexandria.

Output
For the density of states at the Fermi level, the calculation gives 0.48 states/eV/atom.

Cell lengths 5.162, 5.162, 5.162 Å; angles 60.00, 60.00, 60.00 degrees
Fractional positions:
Al: 0.250 0.250 0.250
Al: 0.750 0.750 0.750
Te: 0.000 0.000 0.000
Pb: 0.500 0.500 0.500

=====

Which one is most stable, and which one is least stable? <A> is the most stable of them, while <B> is the least stable.

=====

<A>
First-principles (PBE-GGA) data for a relaxed Al2TePb crystal, as listed in Alexandria.

Output
For the density of states at the Fermi level, the calculation gives 0.47 states/eV/atom.

Cell lengths 3.796, 4.764, 5.580 Å; angles 90.00, 90.00, 90.00 degrees
Fractional positions:
Al: 0.000 0.000 0.000
Al: 0.500 0.000 0.500
Te: 0.000 0.500 0.500
Pb: 0.500 0.500 0.000

=====

<B>
First-principles (PBE-GGA) data for a relaxed Al2TePb crystal, as listed in Alexandria.

Output
For the density of states at the Fermi level, the calculation gives 0.17 states/eV/atom.

Cell lengths 7.721, 7.721, 7.721 Å; angles 30.18, 30.18, 30.18 degrees
Fractional positions:
Al: 0.247 0.247 0.247
Al: 0.753 0.753 0.753
Te: 0.500 0.500 0.500
Pb: 0.000 0.000 0.000

=====

<C>
First-principles (PBE-GGA) data for a relaxed Al2TePb crystal, as listed in Alexandria.

Output
For the density of states at the Fermi level, the calculation gives 0.12 states/eV/atom.

Cell lengths 3.730, 4.854, 6.595 Å; angles 90.00, 90.33, 90.00 degrees
Fractional positions:
Al: 0.000 0.000 0.000
Al: 0.500 0.500 0.095
Te: 0.997 0.500 0.784
Pb: 0.504 0.000 0.353

=====

Which one is most stable, and which one is least stable? <C> is the most stable of them, while <A> is the least stable.

=====

<A>
First-principles (PBE-GGA) data for a relaxed Al2TePb crystal, as listed in Alexandria.

Output
For the density of states at the Fermi level, the calculation gives 0.36 states/eV/atom.

Cell lengths 5.973, 5.973, 5.734 Å; angles 117.22, 117.22, 35.27 degrees
Fractional positions:
Al: 0.000 0.000 0.000
Al: 0.700 0.700 0.050
Te: 0.422 0.422 0.304
Pb: 0.244 0.244 0.633

=====

<B>
First-principles (PBE-GGA) data for a relaxed Al2TePb crystal, as listed in Alexandria.

Output
For the density of states at the Fermi level, the calculation gives 0.00 states/eV/atom.

Cell lengths 7.804, 7.804, 7.804 Å; angles 131.97, 131.97, 70.27 degrees
Fractional positions:
Al: 0.116 0.625 0.991
Al: 0.375 0.366 0.491
Al: 0.634 0.125 0.009
Al: 0.875 0.884 0.509
Te: 0.250 0.750 0.500
Te: 0.500 0.500 0.000
Pb: 0.000 0.000 0.000
Pb: 0.750 0.250 0.500

=====

Which one is most stable, and which one is least stable? <B> is the most stable of them, while <A> is the least stable.

=====

<A>
First-principles (PBE-GGA) data for a relaxed Al2TePb2 crystal, as listed in Alexandria.

Output
For the density of states at the Fermi level, the calculation gives 0.47 states/eV/atom.

Cell lengths 9.339, 9.339, 3.206 Å; angles 90.00, 90.00, 90.00 degrees
Fractional positions:
Al: 0.101 0.399 0.000
Al: 0.399 0.899 0.000
Al: 0.601 0.101 0.000
Al: 0.899 0.601 0.000
Te: 0.000 0.000 0.500
Te: 0.500 0.500 0.500
Pb: 0.198 0.698 0.500
Pb: 0.302 0.198 0.500
Pb: 0.698 0.802 0.500
Pb: 0.802 0.302 0.500

=====

<B>
First-principles (PBE-GGA) data for a relaxed Al2TePb2 crystal, as listed in Alexandria.

Output
For the density of states at the Fermi level, the calculation gives 0.53 states/eV/atom.

Cell lengths 7.651, 7.651, 4.517 Å; angles 90.00, 90.00, 90.00 degrees
Fractional positions:
Al: 0.126 0.374 0.000
Al: 0.374 0.874 0.000
Al: 0.626 0.126 0.000
Al: 0.874 0.626 0.000
Te: 0.000 0.000 0.000
Te: 0.500 0.500 0.000
Pb: 0.170 0.670 0.500
Pb: 0.330 0.170 0.500
Pb: 0.670 0.830 0.500
Pb: 0.830 0.330 0.500

=====

<C>
First-principles (PBE-GGA) data for a relaxed Al2TePb2 crystal, as listed in Alexandria.

Output
For the density of states at the Fermi level, the calculation gives 0.39 states/eV/atom.

Cell lengths 9.229, 9.229, 9.229 Å; angles 155.31, 155.31, 35.19 degrees
Fractional positions:
Al: 0.250 0.750 0.500
Al: 0.750 0.250 0.500
Te: 0.000 0.000 0.000
Pb: 0.392 0.392 0.000
Pb: 0.608 0.608 0.000

=====

Which one is most stable, and which one is least stable? <C> is the most stable of them, while <A> is the least stable.

=====

<A>
First-principles (PBE-GGA) data for a relaxed AlTePb crystal, as listed in Alexandria.

Output
For the density of states at the Fermi level, the calculation gives 0.45 states/eV/atom.

Cell lengths 12.537, 3.970, 3.970 Å; angles 60.03, 90.00, 90.00 degrees
Fractional positions:
Al: 0.000 0.000 0.000
Al: 0.500 0.002 0.002
Te: 0.363 0.668 0.668
Te: 0.637 0.668 0.668
Pb: 0.154 0.333 0.333
Pb: 0.846 0.333 0.333

=====

<B>
First-principles (PBE-GGA) data for a relaxed AlTePb crystal, as listed in Alexandria.

Output
For the density of states at the Fermi level, the calculation gives 0.42 states/eV/atom.

Cell lengths 3.986, 3.986, 6.270 Å; angles 90.00, 90.00, 120.00 degrees
Fractional positions:
Al: 0.000 0.000 0.000
Te: 0.333 0.667 0.758
Pb: 0.667 0.333 0.341

=====

Which one is most stable, and which one is least stable? <B> is the most stable of them, while <A> is the least stable.